[1]
The following is a GGA-PBE calculation of a relaxed structure of Zr3TiRh, from Alexandria via LeMat-Bulk.

Computed properties:
Energy = -8.4200 eV/atom
D(E_F) = 14.5 states/eV per cell
Total magnetization = 0.00 μB per cell
Calculated formation energy = -0.24 eV/atom
Symmetry = Cmcm (63)

a = 5.330 Å, b = 6.040 Å, c = 7.135 Å
α = 115.04°, β = 90.00°, γ = 90.00°
Fractional coordinates of all 10 atoms:
Zr  0.707  0.054  0.108
Zr  0.207  0.946  0.892
Zr  0.207  0.417  0.333
Zr  0.707  0.083  0.667
Zr  0.707  0.583  0.667
Zr  0.207  0.917  0.333
Ti  0.457  0.500  0.000
Ti  0.957  0.500  0.000
Rh  0.207  0.334  0.668
Rh  0.707  0.666  0.332

***

[2]
The following is a GGA-PBE calculation of a relaxed structure of TaPbSCl2, from Alexandria via LeMat-Bulk.

Computed properties:
Energy = -4.9699 eV/atom
D(E_F) = 4.3 states/eV per cell
Total magnetization = 1.34 μB per cell
Symmetry = P4/mmm (123)
Formation energy without anion corrections = -0.29 eV/atom

a = 5.249 Å, b = 5.249 Å, c = 4.895 Å
α = 90.00°, β = 90.00°, γ = 90.00°
Last column: magnetic moment on the atom in μB.
Fractional coordinates of all 5 atoms:
Pb  0.500  0.500  0.500  -0.03
S  0.000  0.000  0.500  -0.04
Cl  0.000  0.500  0.000  0.02
Cl  0.500  0.000  0.000  0.02
Ta  0.000  0.000  0.000  0.99